# KScIn2Br6 PBE-GGA relaxed
# DFT total energy = -35.9 eV per formula unit
# M_tot = 0.00 μB per cell
# ΔE_f (raw) = -1297 meV/atom
# crystal system = triclinic
data_KScIn2Br6
_chemical_formula_sum 'K1 Sc1 In2 Br6'
_space_group_name_H-M_alt 'P 1'
_space_group_IT_number 1
_cell_length_a 7.9868
_cell_length_b 8.0005
_cell_length_c 8.1764
_cell_angle_alpha 90.03
_cell_angle_beta 119.23
_cell_angle_gamma 119.93
loop_
_space_group_symop_operation_xyz
'x,y,z'
loop_
_atom_site_label
_atom_site_type_symbol
_atom_site_fract_x
_atom_site_fract_y
_atom_site_fract_z
K1 K 0.0000 0.0000 0.0000
Sc1 Sc 0.9861 0.4930 0.4788
In1 In 0.5797 0.2901 0.8687
In2 In 0.5910 0.7957 0.3866
Br1 Br 0.0755 0.3842 0.2333
Br2 Br 0.0802 0.2646 0.6937
Br3 Br 0.4289 0.8152 0.6934
Br4 Br 0.5429 0.1592 0.2331
Br5 Br 0.8486 0.6899 0.2322
Br6 Br 0.8777 0.6139 0.6933